No. 1
Mg2ScW | PBE | relaxed

Results
* crystal system: monoclinic
* space-group type: C2/m (12)
* N(E_F): 2.6 states/eV/f.u.
* size of the total moment: 0.00 μB/cell
* energy above the most stable polymorph in this dataset: 129 meV/atom
* calculated formation energy: 0.32 eV per atom

Cell lengths 5.392, 5.392, 5.218 Å; angles 97.74, 97.74, 31.29 degrees
Fractional coordinates of all 4 atoms:
Mg 0.242 0.242 0.233
Mg 0.758 0.758 0.767
Sc 0.000 0.000 0.500
W 0.500 0.500 0.000

=====

No. 2
Mn4SbPb | PBE | relaxed

Results
* formation energy (no corrections): 0.422 eV per atom
* crystal system: cubic
* space-group type: F-43m (216)
* N(E_F): 5.5 states/eV/f.u.
* size of the total moment: 10.68 μB/cell

Cell lengths 5.195, 5.195, 5.195 Å; angles 60.00, 60.00, 60.00 degrees
Fractional coordinates of all 6 atoms:
Mn 0.376 0.376 0.376
Mn 0.376 0.376 0.873
Mn 0.376 0.873 0.376
Mn 0.873 0.376 0.376
Sb 0.750 0.750 0.750
Pb 0.000 0.000 0.000

=====

No. 3
Na2BiH6 | PBE | relaxed

Results
* crystal system: cubic
* space-group type: Fm-3m (225)
* N(E_F): 2.0 states/eV/f.u.
* size of the total moment: 0.00 μB/cell
* energy: -2.6002 eV per atom

Cell lengths 5.530, 5.530, 5.530 Å; angles 60.00, 60.00, 60.00 degrees
Fractional coordinates of all 9 atoms:
Na 0.250 0.250 0.250
Na 0.750 0.750 0.750
Bi 0.000 0.000 0.000
H 0.262 0.262 0.738
H 0.262 0.738 0.262
H 0.262 0.738 0.738
H 0.738 0.262 0.262
H 0.738 0.262 0.738
H 0.738 0.738 0.262

=====

Q: What is the formula in the first record?
A: Mg2ScW